VASP calculation (PBE) on a geometry-optimized Cu4SeCl2O structure.

Properties
- E (eV/f.u.) = -31.23
- density of states at the Fermi level (states/eV/atom) = 0.910
- ΔE_f (raw) (meV per atom) = -338.5

```
16
Lattice="7.155 0.000 0.000 0.000 6.606 0.000 0.000 0.000 6.070" Properties=species:S:1:pos:R:3 pbc="T T T"
Cu 0.000 0.645 0.000
Cu 0.000 5.873 2.332
Cu 1.595 4.443 6.033
Cu 1.983 2.163 2.998
Cu 3.578 0.733 5.367
Cu 3.578 5.961 3.035
Cu 5.173 2.163 2.998
Cu 5.560 4.443 6.033
Se 0.000 1.077 3.722
Se 3.578 5.529 0.687
Cl 1.774 4.414 3.612
Cl 1.804 2.191 0.577
Cl 5.352 2.191 0.577
Cl 5.381 4.414 3.612
O 0.000 5.384 0.498
O 3.578 1.222 3.533
```